1.
## YHSe2 (PBE)

Data for YHSe2 after structural relaxation.

Properties
The calculation puts the volume at 154.45 Å³ per cell. For the energy above the most stable polymorph in this dataset, the calculation gives 545 meV per atom. The spin magnetization comes out at 0.0 μB/cell. The electronic total energy is -4.833 eV per atom. Its space group is No. 122. The crystal system is tetragonal.

Cell: 5.868 5.868 5.868 Å, 112.31 112.31 103.93°
Fractional coordinates of all 8 atoms:
1 Y 0.000 0.000 0.000
2 Y 0.750 0.250 0.500
3 H 0.250 0.750 0.500
4 H 0.500 0.500 0.000
5 Se 0.201 0.625 0.076
6 Se 0.375 0.451 0.576
7 Se 0.549 0.125 0.924
8 Se 0.875 0.799 0.424

***

2.
## YHSe2 (PBE)

Data for YHSe2 after structural relaxation.

Properties
The calculation puts the volume at 412.88 Å³ per cell. For the energy above the most stable polymorph in this dataset, the calculation gives 584 meV per atom. The spin magnetization comes out at 0.0 μB/cell. The electronic total energy is -4.794 eV per atom. Its space group is No. 63. The crystal system is orthorhombic.

Cell: 11.689 11.689 5.521 Å, 90.00 90.00 146.81°
Fractional coordinates of all 8 atoms:
1 Y 0.071 0.929 0.750
2 Y 0.929 0.071 0.250
3 H 0.251 0.749 0.750
4 H 0.749 0.251 0.250
5 Se 0.054 0.946 0.250
6 Se 0.185 0.815 0.750
7 Se 0.815 0.185 0.250
8 Se 0.946 0.054 0.750

***

3.
## YHSe2 (PBE)

Data for YHSe2 after structural relaxation.

Properties
The calculation puts the volume at 72.98 Å³ per cell. For the energy above the most stable polymorph in this dataset, the calculation gives 615 meV per atom. The spin magnetization comes out at 0.0 μB/cell. The electronic total energy is -4.762 eV per atom. Its space group is No. 123. The crystal system is tetragonal.

Cell: 3.981 3.981 4.604 Å, 90.00 90.00 90.00°
Fractional coordinates of all 4 atoms:
1 Y 0.000 0.000 0.000
2 H 0.500 0.500 0.000
3 Se 0.000 0.500 0.500
4 Se 0.500 0.000 0.500